A | # Ba2InH GGA-PBE optimized geometry
data_Ba2InH
_cell_length_a 8.2436
_cell_length_b 8.2436
_cell_length_c 8.2436
_cell_angle_alpha 90.00
_cell_angle_beta 90.00
_cell_angle_gamma 90.00
_space_group_name_H-M_alt 'F m -3 m'
_space_group_IT_number 225
_space_group_name_Hall '-F 4 2 3'
loop_
_atom_site_label
_atom_site_type_symbol
_atom_site_fract_x
_atom_site_fract_y
_atom_site_fract_z
_atom_site_occupancy
Ba1 Ba 0.2500 0.2500 0.2500 1
In1 In 0.0000 0.0000 0.0000 1
H1 H 0.0000 0.0000 0.5000 1
# Crystal system: cubic

B | # Ba2InH GGA-PBE optimized geometry
data_Ba2InH
_cell_length_a 4.3816
_cell_length_b 4.3816
_cell_length_c 25.2673
_cell_angle_alpha 90.00
_cell_angle_beta 90.00
_cell_angle_gamma 120.00
_space_group_name_H-M_alt 'R -3 m'
_space_group_IT_number 166
_space_group_name_Hall '-R 3 2"'
loop_
_atom_site_label
_atom_site_type_symbol
_atom_site_fract_x
_atom_site_fract_y
_atom_site_fract_z
_atom_site_occupancy
Ba1 Ba 0.0000 0.0000 0.2342 1
In1 In 0.0000 0.0000 0.0000 1
H1 H 0.0000 0.0000 0.5000 1
# Crystal system: trigonal

Most stable structure: B

A | # Ba2InH GGA-PBE optimized geometry
data_Ba2InH
_cell_length_a 8.6848
_cell_length_b 11.8637
_cell_length_c 5.5324
_cell_angle_alpha 90.00
_cell_angle_beta 90.00
_cell_angle_gamma 90.00
_space_group_name_H-M_alt 'C m c m'
_space_group_IT_number 63
_space_group_name_Hall '-C 2c 2'
loop_
_atom_site_label
_atom_site_type_symbol
_atom_site_fract_x
_atom_site_fract_y
_atom_site_fract_z
_atom_site_occupancy
Ba1 Ba 0.2157 0.1179 0.2500 1
In1 In 0.0000 0.4031 0.2500 1
H1 H 0.0000 0.0000 0.0000 1
# Crystal system: orthorhombic

B | # Ba2InH GGA-PBE optimized geometry
data_Ba2InH
_cell_length_a 4.2918
_cell_length_b 4.2918
_cell_length_c 25.7751
_cell_angle_alpha 90.00
_cell_angle_beta 90.00
_cell_angle_gamma 120.00
_space_group_name_H-M_alt 'R 3 m'
_space_group_IT_number 160
_space_group_name_Hall 'R 3 -2"'
loop_
_atom_site_label
_atom_site_type_symbol
_atom_site_fract_x
_atom_site_fract_y
_atom_site_fract_z
_atom_site_occupancy
Ba1 Ba 0.0000 0.0000 0.0000 1
Ba2 Ba 0.0000 0.0000 0.1993 1
In1 In 0.0000 0.0000 0.4322 1
H1 H 0.0000 0.0000 0.5995 1
# Crystal system: trigonal

Most stable structure: A

A | # Ba2InH GGA-PBE optimized geometry
data_Ba2InH
_cell_length_a 3.8264
_cell_length_b 3.8264
_cell_length_c 8.5886
_cell_angle_alpha 90.00
_cell_angle_beta 90.00
_cell_angle_gamma 90.00
_space_group_name_H-M_alt 'P 4/m m m'
_space_group_IT_number 123
_space_group_name_Hall '-P 4 2'
loop_
_atom_site_label
_atom_site_type_symbol
_atom_site_fract_x
_atom_site_fract_y
_atom_site_fract_z
_atom_site_occupancy
Ba1 Ba 0.0000 0.0000 0.2227 1
In1 In 0.5000 0.5000 0.5000 1
H1 H 0.5000 0.5000 0.0000 1
# Crystal system: tetragonal

B | # Ba2InH GGA-PBE optimized geometry
data_Ba2InH
_cell_length_a 7.6682
_cell_length_b 5.7760
_cell_length_c 11.8127
_cell_angle_alpha 90.00
_cell_angle_beta 90.00
_cell_angle_gamma 90.00
_space_group_name_H-M_alt 'P n m a'
_space_group_IT_number 62
_space_group_name_Hall '-P 2ac 2n'
loop_
_atom_site_label
_atom_site_type_symbol
_atom_site_fract_x
_atom_site_fract_y
_atom_site_fract_z
_atom_site_occupancy
Ba1 Ba 0.0763 0.2500 0.1964 1
Ba2 Ba 0.1490 0.2500 0.5572 1
In1 In 0.1885 0.2500 0.8614 1
H1 H 0.1002 0.7500 0.6069 1
# Crystal system: orthorhombic

Most stable structure: B

A | # Ba6In2H GGA-PBE optimized geometry
data_Ba6In2H
_cell_length_a 8.0581
_cell_length_b 8.3516
_cell_length_c 14.0936
_cell_angle_alpha 90.00
_cell_angle_beta 124.88
_cell_angle_gamma 90.00
_space_group_name_H-M_alt 'P 1 21/c 1'
_space_group_IT_number 14
_space_group_name_Hall '-P 2ybc'
loop_
_atom_site_label
_atom_site_type_symbol
_atom_site_fract_x
_atom_site_fract_y
_atom_site_fract_z
_atom_site_occupancy
Ba1 Ba 0.1499 0.0112 0.2472 1
Ba2 Ba 0.2452 0.7020 0.0489 1
Ba3 Ba 0.3469 0.1966 0.0490 1
In1 In 0.2735 0.0704 0.7490 1
H1 H 0.0000 0.0000 0.0000 1
# Crystal system: monoclinic

B | # Ba6In2H GGA-PBE optimized geometry
data_Ba6In2H
_cell_length_a 7.7279
_cell_length_b 10.6240
_cell_length_c 11.0138
_cell_angle_alpha 90.00
_cell_angle_beta 121.33
_cell_angle_gamma 90.00
_space_group_name_H-M_alt 'P 1 21/c 1'
_space_group_IT_number 14
_space_group_name_Hall '-P 2ybc'
loop_
_atom_site_label
_atom_site_type_symbol
_atom_site_fract_x
_atom_site_fract_y
_atom_site_fract_z
_atom_site_occupancy
Ba1 Ba 0.1480 0.1184 0.4600 1
Ba2 Ba 0.2907 0.7371 0.4241 1
Ba3 Ba 0.3274 0.0500 0.1778 1
In1 In 0.2149 0.0992 0.8082 1
H1 H 0.5000 0.0000 0.5000 1
# Crystal system: monoclinic

Most stable structure: A

A | # BaInH2 GGA-PBE optimized geometry
data_BaInH2
_cell_length_a 5.2429
_cell_length_b 5.2429
_cell_length_c 12.4823
_cell_angle_alpha 90.00
_cell_angle_beta 90.00
_cell_angle_gamma 90.00
_space_group_name_H-M_alt 'I -4 2 d'
_space_group_IT_number 122
_space_group_name_Hall 'I -4 2bw'
loop_
_atom_site_label
_atom_site_type_symbol
_atom_site_fract_x
_atom_site_fract_y
_atom_site_fract_z
_atom_site_occupancy
Ba1 Ba 0.0000 0.0000 0.0000 1
In1 In 0.0000 0.0000 0.5000 1
H1 H 0.1973 0.2500 0.6250 1
# Crystal system: tetragonal

B | # BaInH2 GGA-PBE optimized geometry
data_BaInH2
_cell_length_a 6.7712
_cell_length_b 6.7712
_cell_length_c 6.7712
_cell_angle_alpha 90.00
_cell_angle_beta 90.00
_cell_angle_gamma 90.00
_space_group_name_H-M_alt 'F m -3 m'
_space_group_IT_number 225
_space_group_name_Hall '-F 4 2 3'
loop_
_atom_site_label
_atom_site_type_symbol
_atom_site_fract_x
_atom_site_fract_y
_atom_site_fract_z
_atom_site_occupancy
Ba1 Ba 0.0000 0.0000 0.0000 1
In1 In 0.0000 0.0000 0.5000 1
H1 H 0.2500 0.2500 0.2500 1
# Crystal system: cubic

Most stable structure: A

A | # BaInH GGA-PBE optimized geometry
data_BaInH
_cell_length_a 9.4575
_cell_length_b 16.6328
_cell_length_c 12.8269
_cell_angle_alpha 90.00
_cell_angle_beta 90.00
_cell_angle_gamma 90.00
_space_group_name_H-M_alt 'C 2 2 21'
_space_group_IT_number 20
_space_group_name_Hall 'C 2c 2'
loop_
_atom_site_label
_atom_site_type_symbol
_atom_site_fract_x
_atom_site_fract_y
_atom_site_fract_z
_atom_site_occupancy
Ba1 Ba 0.1194 0.1147 0.4499 1
Ba2 Ba 0.1297 0.3850 0.4339 1
Ba3 Ba 0.1878 0.2557 0.1842 1
In1 In 0.0000 0.1023 0.7500 1
In2 In 0.0000 0.4153 0.7500 1
In3 In 0.0698 0.2596 0.8847 1
In4 In 0.1817 0.0368 0.1849 1
H1 H 0.0000 0.1120 0.2500 1
H2 H 0.0000 0.3619 0.2500 1
H3 H 0.0740 0.2447 0.3649 1
H4 H 0.1145 0.2535 0.5502 1
# Crystal system: orthorhombic

B | # BaInH GGA-PBE optimized geometry
data_BaInH
_cell_length_a 3.4567
_cell_length_b 9.5299
_cell_length_c 4.5628
_cell_angle_alpha 90.00
_cell_angle_beta 90.00
_cell_angle_gamma 90.00
_space_group_name_H-M_alt 'P m c 21'
_space_group_IT_number 26
_space_group_name_Hall 'P 2c -2'
loop_
_atom_site_label
_atom_site_type_symbol
_atom_site_fract_x
_atom_site_fract_y
_atom_site_fract_z
_atom_site_occupancy
Ba1 Ba 0.0000 0.1684 0.0000 1
In1 In 0.5000 0.4110 0.5001 1
H1 H 0.5000 0.0684 0.5014 1
# Crystal system: orthorhombic

Most stable structure: A

A | # Ba2LiInH GGA-PBE optimized geometry
data_Ba2LiInH
_cell_length_a 5.8498
_cell_length_b 5.8498
_cell_length_c 4.3705
_cell_angle_alpha 90.00
_cell_angle_beta 90.00
_cell_angle_gamma 90.00
_space_group_name_H-M_alt 'P 4/m m m'
_space_group_IT_number 123
_space_group_name_Hall '-P 4 2'
loop_
_atom_site_label
_atom_site_type_symbol
_atom_site_fract_x
_atom_site_fract_y
_atom_site_fract_z
_atom_site_occupancy
Ba1 Ba 0.0000 0.5000 0.0000 1
Li1 Li 0.0000 0.0000 0.5000 1
In1 In 0.5000 0.5000 0.5000 1
H1 H 0.0000 0.0000 0.0000 1
# Crystal system: tetragonal

B | # Ba2LiInH GGA-PBE optimized geometry
data_Ba2LiInH
_cell_length_a 5.6863
_cell_length_b 5.6863
_cell_length_c 4.7516
_cell_angle_alpha 90.00
_cell_angle_beta 90.00
_cell_angle_gamma 90.00
_space_group_name_H-M_alt 'P 4/m m m'
_space_group_IT_number 123
_space_group_name_Hall '-P 4 2'
loop_
_atom_site_label
_atom_site_type_symbol
_atom_site_fract_x
_atom_site_fract_y
_atom_site_fract_z
_atom_site_occupancy
Ba1 Ba 0.0000 0.5000 0.0000 1
Li1 Li 0.0000 0.0000 0.5000 1
In1 In 0.5000 0.5000 0.5000 1
H1 H 0.5000 0.5000 0.0000 1
# Crystal system: tetragonal

Most stable structure: A

A | # BaInHRh2 GGA-PBE optimized geometry
data_BaInHRh2
_cell_length_a 5.1644
_cell_length_b 5.1644
_cell_length_c 3.9978
_cell_angle_alpha 90.00
_cell_angle_beta 90.00
_cell_angle_gamma 90.00
_space_group_name_H-M_alt 'P 4/m m m'
_space_group_IT_number 123
_space_group_name_Hall '-P 4 2'
loop_
_atom_site_label
_atom_site_type_symbol
_atom_site_fract_x
_atom_site_fract_y
_atom_site_fract_z
_atom_site_occupancy
Ba1 Ba 0.0000 0.0000 0.0000 1
In1 In 0.5000 0.5000 0.5000 1
H1 H 0.5000 0.5000 0.0000 1
Rh1 Rh 0.0000 0.5000 0.5000 1
# Crystal system: tetragonal

B | # BaInHRh2 GGA-PBE optimized geometry
data_BaInHRh2
_cell_length_a 4.5310
_cell_length_b 12.1587
_cell_length_c 7.0072
_cell_angle_alpha 90.00
_cell_angle_beta 90.00
_cell_angle_gamma 90.00
_space_group_name_H-M_alt 'C m c m'
_space_group_IT_number 63
_space_group_name_Hall '-C 2c 2'
loop_
_atom_site_label
_atom_site_type_symbol
_atom_site_fract_x
_atom_site_fract_y
_atom_site_fract_z
_atom_site_occupancy
Ba1 Ba 0.0000 0.0684 0.2500 1
In1 In 0.0000 0.2102 0.7500 1
H1 H 0.0000 0.5000 0.0000 1
Rh1 Rh 0.0000 0.3534 0.0520 1
# Crystal system: orthorhombic

Most stable structure: B

A | # Ba2SrInH GGA-PBE optimized geometry
data_Ba2SrInH
_cell_length_a 5.7854
_cell_length_b 5.7854
_cell_length_c 5.1619
_cell_angle_alpha 90.00
_cell_angle_beta 90.00
_cell_angle_gamma 90.00
_space_group_name_H-M_alt 'P 4/m m m'
_space_group_IT_number 123
_space_group_name_Hall '-P 4 2'
loop_
_atom_site_label
_atom_site_type_symbol
_atom_site_fract_x
_atom_site_fract_y
_atom_site_fract_z
_atom_site_occupancy
Ba1 Ba 0.0000 0.5000 0.0000 1
Sr1 Sr 0.0000 0.0000 0.5000 1
In1 In 0.5000 0.5000 0.5000 1
H1 H 0.5000 0.5000 0.0000 1
# Crystal system: tetragonal

B | # Ba2SrInH GGA-PBE optimized geometry
data_Ba2SrInH
_cell_length_a 5.5829
_cell_length_b 5.5829
_cell_length_c 5.5055
_cell_angle_alpha 90.00
_cell_angle_beta 90.00
_cell_angle_gamma 90.00
_space_group_name_H-M_alt 'P 4/m m m'
_space_group_IT_number 123
_space_group_name_Hall '-P 4 2'
loop_
_atom_site_label
_atom_site_type_symbol
_atom_site_fract_x
_atom_site_fract_y
_atom_site_fract_z
_atom_site_occupancy
Ba1 Ba 0.0000 0.5000 0.0000 1
Sr1 Sr 0.0000 0.0000 0.5000 1
In1 In 0.5000 0.5000 0.5000 1
H1 H 0.0000 0.0000 0.0000 1
# Crystal system: tetragonal

Most stable structure: B

A | # BaSr2InH GGA-PBE optimized geometry
data_BaSr2InH
_cell_length_a 8.0732
_cell_length_b 10.4997
_cell_length_c 7.6912
_cell_angle_alpha 90.00
_cell_angle_beta 90.00
_cell_angle_gamma 90.00
_space_group_name_H-M_alt 'C m c m'
_space_group_IT_number 63
_space_group_name_Hall '-C 2c 2'
loop_
_atom_site_label
_atom_site_type_symbol
_atom_site_fract_x
_atom_site_fract_y
_atom_site_fract_z
_atom_site_occupancy
Ba1 Ba 0.0000 0.2169 0.2500 1
Sr1 Sr 0.2176 0.5000 0.0000 1
In1 In 0.0000 0.2114 0.7500 1
H1 H 0.0000 0.4580 0.2500 1
# Crystal system: orthorhombic

B | # BaSr2InH GGA-PBE optimized geometry
data_BaSr2InH
_cell_length_a 5.4392
_cell_length_b 5.4392
_cell_length_c 5.4988
_cell_angle_alpha 90.00
_cell_angle_beta 90.00
_cell_angle_gamma 90.00
_space_group_name_H-M_alt 'P 4/m m m'
_space_group_IT_number 123
_space_group_name_Hall '-P 4 2'
loop_
_atom_site_label
_atom_site_type_symbol
_atom_site_fract_x
_atom_site_fract_y
_atom_site_fract_z
_atom_site_occupancy
Ba1 Ba 0.0000 0.0000 0.0000 1
Sr1 Sr 0.0000 0.5000 0.5000 1
In1 In 0.5000 0.5000 0.0000 1
H1 H 0.0000 0.0000 0.5000 1
# Crystal system: tetragonal

Most stable structure: B

A | # Ba2ZnInH GGA-PBE optimized geometry
data_Ba2ZnInH
_cell_length_a 5.7136
_cell_length_b 5.7136
_cell_length_c 4.5230
_cell_angle_alpha 90.00
_cell_angle_beta 90.00
_cell_angle_gamma 90.00
_space_group_name_H-M_alt 'P 4/m m m'
_space_group_IT_number 123
_space_group_name_Hall '-P 4 2'
loop_
_atom_site_label
_atom_site_type_symbol
_atom_site_fract_x
_atom_site_fract_y
_atom_site_fract_z
_atom_site_occupancy
Ba1 Ba 0.0000 0.5000 0.0000 1
Zn1 Zn 0.0000 0.0000 0.5000 1
In1 In 0.5000 0.5000 0.5000 1
H1 H 0.5000 0.5000 0.0000 1
# Crystal system: tetragonal

B | # Ba2ZnInH GGA-PBE optimized geometry
data_Ba2ZnInH
_cell_length_a 5.7159
_cell_length_b 5.7159
_cell_length_c 4.4143
_cell_angle_alpha 90.00
_cell_angle_beta 90.00
_cell_angle_gamma 90.00
_space_group_name_H-M_alt 'P 4/m m m'
_space_group_IT_number 123
_space_group_name_Hall '-P 4 2'
loop_
_atom_site_label
_atom_site_type_symbol
_atom_site_fract_x
_atom_site_fract_y
_atom_site_fract_z
_atom_site_occupancy
Ba1 Ba 0.0000 0.5000 0.0000 1
Zn1 Zn 0.0000 0.0000 0.5000 1
In1 In 0.5000 0.5000 0.5000 1
H1 H 0.0000 0.0000 0.0000 1
# Crystal system: tetragonal

Most stable structure: B